(1)
Entry from Alexandria via LeMat-Bulk: CsHg6 after structural relaxation (PBE).

Values from the calculation:
Calculated total energy = -6.46 eV per cell
Excess energy over the best structure of this formula in the dataset = 1.46 kcal/mol of atoms

a = 8.373 Å, b = 8.373 Å, c = 8.373 Å
α = 90.00°, β = 90.00°, γ = 90.00°
Space group Im-3m (No. 229)
One atom of each set of equivalent atoms:
Cs 0.000 0.000 0.000
Hg 0.000 0.250 0.500


(2)
Entry from Alexandria via LeMat-Bulk: Cs12Hg after structural relaxation (PBE).

Values from the calculation:
Calculated total energy = -21.00 eV per cell

a = 13.945 Å, b = 13.945 Å, c = 13.945 Å
α = 90.00°, β = 90.00°, γ = 90.00°
Space group Im-3 (No. 204)
One atom of each set of equivalent atoms:
Cs 0.000 0.306 0.174
Hg 0.000 0.000 0.000


(3)
Entry from Alexandria via LeMat-Bulk: Cs5Hg3 after structural relaxation (PBE).

Values from the calculation:
Calculated total energy = -13.03 eV per cell

a = 11.4250 Å, b = 11.4250 Å, c = 8.5768 Å
α = 90.00°, β = 90.00°, γ = 120.00°
Space group P6_3/mcm (No. 193)
One atom of each set of equivalent atoms:
Cs 0.0000 0.2590 0.2500
Cs 0.3333 0.6667 0.0000
Hg 0.0000 0.3945 0.7500


The evaluated ΔE_f for the records listed, in turn: -0.081 0.003 -0.168 eV per atom.
The evaluated total magnetization for the records listed, in turn: 0.000 0.001 0.000 μB per cell.